No. 1
Below is an optimized crystal structure of SnGeAsBr2, with properties calculated at the PBE level.

Properties
The formation energy without anion corrections is 0.14 eV/atom. The value obtained for the energy above the lowest structure with this stoichiometry is 0.0 meV/atom.

Lattice parameters (Å, degrees): 5.195 5.195 5.323 90.00 90.00 90.00
Positions (direct):
Sn (0.000, 0.000, 0.000)
Ge (0.500, 0.500, 0.500)
As (0.500, 0.500, 0.000)
Br (0.000, 0.500, 0.500)
Br (0.500, 0.000, 0.500)

***

No. 2
Below is an optimized crystal structure of Sr8Ge3AsBr4, with properties calculated at the PBE level.

Properties
The formation energy without anion corrections is -1.18 eV/atom.

Lattice parameters (Å, degrees): 8.992 8.992 9.412 118.47 118.47 60.18
Positions (direct):
Sr (0.238, 0.238, 0.719)
Sr (0.238, 0.745, 0.719)
Sr (0.255, 0.762, 0.281)
Sr (0.256, 0.256, 0.270)
Sr (0.744, 0.744, 0.730)
Sr (0.745, 0.238, 0.719)
Sr (0.762, 0.255, 0.281)
Sr (0.762, 0.762, 0.281)
Ge (0.000, 0.500, 0.500)
Ge (0.500, 0.000, 0.500)
Ge (0.500, 0.500, 0.500)
As (0.000, 0.000, 0.500)
Br (0.000, 0.000, 0.000)
Br (0.000, 0.500, 0.000)
Br (0.500, 0.000, 0.000)
Br (0.500, 0.500, 0.000)

***

No. 3
Below is an optimized crystal structure of TlGeAsBr2, with properties calculated at the PBE level.

Properties
The formation energy without anion corrections is 0.07 eV/atom. The value obtained for the energy above the lowest structure with this stoichiometry is 147.3 meV/atom.

Lattice parameters (Å, degrees): 5.589 5.589 5.159 90.00 90.00 90.00
Positions (direct):
Tl (0.000, 0.000, 0.000)
Ge (0.500, 0.500, 0.000)
As (0.500, 0.500, 0.500)
Br (0.000, 0.500, 0.500)
Br (0.500, 0.000, 0.500)

***

No. 4
Below is an optimized crystal structure of TlGeAsBr2, with properties calculated at the PBE level.

Properties
The formation energy without anion corrections is -0.08 eV/atom. The value obtained for the energy above the lowest structure with this stoichiometry is 0.0 meV/atom.

Lattice parameters (Å, degrees): 5.537 5.537 5.195 90.00 90.00 90.00
Positions (direct):
Tl (0.000, 0.000, 0.000)
Ge (0.500, 0.500, 0.500)
As (0.500, 0.500, 0.000)
Br (0.000, 0.500, 0.500)
Br (0.500, 0.000, 0.500)

***

No. 5
Below is an optimized crystal structure of TlGeAsBr2, with properties calculated at the PBE level.

Properties
The formation energy without anion corrections is 0.54 eV/atom. The value obtained for the energy above the lowest structure with this stoichiometry is 615.3 meV/atom.

Lattice parameters (Å, degrees): 5.586 5.586 5.527 90.00 90.00 90.00
Positions (direct):
Tl (0.000, 0.000, 0.000)
Ge (0.500, 0.500, 0.500)
As (0.000, 0.000, 0.500)
Br (0.000, 0.500, 0.000)
Br (0.500, 0.000, 0.000)

***

No. 6
Below is an optimized crystal structure of TlGeAsBr6, with properties calculated at the PBE level.

Properties
The formation energy without anion corrections is -0.56 eV/atom.

Lattice parameters (Å, degrees): 7.112 7.112 7.350 90.00 90.00 120.00
Positions (direct):
Tl (0.000, 0.000, 0.000)
Ge (0.333, 0.667, 0.500)
As (0.667, 0.333, 0.500)
Br (0.375, 0.016, 0.716)
Br (0.375, 0.359, 0.284)
Br (0.641, 0.016, 0.284)
Br (0.641, 0.625, 0.716)
Br (0.984, 0.359, 0.716)
Br (0.984, 0.625, 0.284)

***

No. 7
Below is an optimized crystal structure of TlGeAs2Br, with properties calculated at the PBE level.

Properties
The formation energy without anion corrections is 0.92 eV/atom. The value obtained for the energy above the lowest structure with this stoichiometry is 633.2 meV/atom.

Lattice parameters (Å, degrees): 5.336 5.336 5.595 90.00 90.00 90.00
Positions (direct):
Tl (0.000, 0.000, 0.000)
Ge (0.500, 0.500, 0.500)
As (0.000, 0.500, 0.000)
As (0.500, 0.000, 0.000)
Br (0.000, 0.000, 0.500)

***

No. 8
Below is an optimized crystal structure of TlGeAs2Br, with properties calculated at the PBE level.

Properties
The formation energy without anion corrections is 0.28 eV/atom. The value obtained for the energy above the lowest structure with this stoichiometry is 0.0 meV/atom.

Lattice parameters (Å, degrees): 5.001 5.001 5.869 90.00 90.00 90.00
Positions (direct):
Tl (0.000, 0.000, 0.000)
Ge (0.500, 0.500, 0.500)
As (0.000, 0.500, 0.500)
As (0.500, 0.000, 0.500)
Br (0.500, 0.500, 0.000)

***

No. 9
Below is an optimized crystal structure of VGeAs2Br, with properties calculated at the PBE level.

Properties
The formation energy without anion corrections is 0.85 eV/atom. The value obtained for the energy above the lowest structure with this stoichiometry is 521.0 meV/atom.

Lattice parameters (Å, degrees): 4.907 4.907 5.226 90.00 90.00 90.00
Positions (direct):
V (0.000, 0.000, 0.000)
Ge (0.500, 0.500, 0.500)
As (0.000, 0.500, 0.500)
As (0.500, 0.000, 0.500)
Br (0.500, 0.500, 0.000)

***

No. 10
Below is an optimized crystal structure of VGeAsBr2, with properties calculated at the PBE level.

Properties
The formation energy without anion corrections is 0.88 eV/atom. The value obtained for the energy above the lowest structure with this stoichiometry is 680.3 meV/atom.

Lattice parameters (Å, degrees): 5.110 5.110 5.204 90.00 90.00 90.00
Positions (direct):
V (0.000, 0.000, 0.000)
Ge (0.500, 0.500, 0.500)
As (0.500, 0.500, 0.000)
Br (0.000, 0.500, 0.500)
Br (0.500, 0.000, 0.500)

***

No. 11
Below is an optimized crystal structure of VGeAs2Br, with properties calculated at the PBE level.

Properties
The formation energy without anion corrections is 0.33 eV/atom. The value obtained for the energy above the lowest structure with this stoichiometry is 0.0 meV/atom.

Lattice parameters (Å, degrees): 4.723 4.723 5.323 90.00 90.00 90.00
Positions (direct):
V (0.000, 0.000, 0.000)
Ge (0.500, 0.500, 0.500)
As (0.000, 0.500, 0.000)
As (0.500, 0.000, 0.000)
Br (0.000, 0.000, 0.500)

***

No. 12
Below is an optimized crystal structure of VGeAsBr2, with properties calculated at the PBE level.

Properties
The formation energy without anion corrections is 0.20 eV/atom. The value obtained for the energy above the lowest structure with this stoichiometry is 0.0 meV/atom.

Lattice parameters (Å, degrees): 4.985 4.985 5.060 90.00 90.00 90.00
Positions (direct):
V (0.000, 0.000, 0.000)
Ge (0.500, 0.500, 0.500)
As (0.000, 0.000, 0.500)
Br (0.000, 0.500, 0.000)
Br (0.500, 0.000, 0.000)

***

Number 1: calculated total energy -3.1843 eV per atom. Number 2: calculated total energy -3.5967 eV per atom. Number 3: calculated total energy -2.9281 eV per atom. Number 4: calculated total energy -3.0754 eV per atom. Number 5: calculated total energy -2.4601 eV per atom. Number 6: calculated total energy -2.9645 eV per atom. Number 7: calculated total energy -2.6745 eV per atom. Number 8: calculated total energy -3.3078 eV per atom. Number 9: calculated total energy -4.0908 eV per atom. Number 10: calculated total energy -3.4657 eV per atom. Number 11: calculated total energy -4.6118 eV per atom. Number 12: calculated total energy -4.1461 eV per atom.